# 1
Computed, not measured: a geometry-optimized SrAg2Cl4 structure at the PBE-GGA level of DFT.

Results
Theoretical density = 4.14 Mg/m³
E_form (uncorrected) = -28.62 kcal/mol of atoms
Energy = -46.92 eV/cell
Energy relative to the lowest polymorph listed for this composition = 0.058 eV/atom

```
data_SrAg2Cl4
_chemical_formula_sum 'Sr2 Ag4 Cl8'
_cell_length_a 7.288
_cell_length_b 7.288
_cell_length_c 6.723
_cell_angle_alpha 90.00
_cell_angle_beta 90.00
_cell_angle_gamma 90.00
_symmetry_space_group_name_H-M 'I 4 2 2'
_symmetry_Int_Tables_number 97
_symmetry_space_group_name_Hall 'I 4 2'
loop_
_atom_site_label
_atom_site_type_symbol
_atom_site_fract_x
_atom_site_fract_y
_atom_site_fract_z
Sr1 Sr 0.000 0.000 0.000
Ag1 Ag 0.000 0.500 0.000
Cl1 Cl 0.197 0.303 0.750
```

=====

# 2
Computed, not measured: a geometry-optimized BaHoSe2F structure at the PBE-GGA level of DFT.

Results
Theoretical density = 5.97 Mg/m³
E_form (uncorrected) = -56.50 kcal/mol of atoms
Energy = -55.18 eV/cell

```
data_BaHoSe2F
_chemical_formula_sum 'Ba2 Ho2 Se4 F2'
_cell_length_a 4.218
_cell_length_b 4.218
_cell_length_c 14.973
_cell_angle_alpha 90.00
_cell_angle_beta 90.00
_cell_angle_gamma 90.00
_symmetry_space_group_name_H-M 'P 4/n m m'
_symmetry_Int_Tables_number 129
loop_
_symmetry_equiv_pos_as_xyz
'x,y,z'
'-x,-y,-z'
'-y+1/2,x,z'
'y+1/2,-x,-z'
'-x+1/2,-y+1/2,z'
'x+1/2,y+1/2,-z'
'y,-x+1/2,z'
'-y,x+1/2,-z'
'x+1/2,-y,-z'
'-x+1/2,y,z'
'-y,-x,-z'
'y,x,z'
'-x,y+1/2,-z'
'x,-y+1/2,z'
'y+1/2,x+1/2,-z'
'-y+1/2,-x+1/2,z'
loop_
_atom_site_label
_atom_site_type_symbol
_atom_site_fract_x
_atom_site_fract_y
_atom_site_fract_z
Ba1 Ba 0.250 0.250 0.108
Ho1 Ho 0.250 0.250 0.613
Se1 Se 0.250 0.250 0.411
Se2 Se 0.250 0.250 0.787
F1 F 0.250 0.750 0.000
```

=====

# 3
Computed, not measured: a geometry-optimized AlRe3 structure at the PBE-GGA level of DFT.

Results
Theoretical density = 16.41 Mg/m³
Calculated formation energy = 0.082 eV/atom
Energy = -122.28 eV/cell

```
data_AlRe3
_chemical_formula_sum 'Al3 Re9'
_cell_length_a 8.6645
_cell_length_b 8.6645
_cell_length_c 2.7340
_cell_angle_alpha 90.00
_cell_angle_beta 90.00
_cell_angle_gamma 120.00
_symmetry_space_group_name_H-M 'R -3 m'
_symmetry_Int_Tables_number 166
_symmetry_space_group_name_Hall '-R 3 2"'
loop_
_atom_site_label
_atom_site_type_symbol
_atom_site_fract_x
_atom_site_fract_y
_atom_site_fract_z
Al1 Al 0.0000 0.0000 0.0000
Re1 Re 0.0000 0.5000 0.0000
```

=====

# 4
Computed, not measured: a geometry-optimized YCdAg2 structure at the PBE-GGA level of DFT.

Results
Theoretical density = 8.08 Mg/m³
Calculated formation energy = -0.291 eV/atom
Energy = -28.49 eV/cell

```
data_YCdAg2
_chemical_formula_sum 'Y2 Cd2 Ag4'
_cell_length_a 5.049
_cell_length_b 6.739
_cell_length_c 5.041
_cell_angle_alpha 90.00
_cell_angle_beta 90.00
_cell_angle_gamma 90.00
_symmetry_space_group_name_H-M 'P m m n'
_symmetry_Int_Tables_number 59
loop_
_symmetry_equiv_pos_as_xyz
'x,y,z'
'-x,-y,-z'
'-x+1/2,-y+1/2,z'
'x+1/2,y+1/2,-z'
'x+1/2,-y,-z'
'-x+1/2,y,z'
'-x,y+1/2,-z'
'x,-y+1/2,z'
loop_
_atom_site_label
_atom_site_type_symbol
_atom_site_fract_x
_atom_site_fract_y
_atom_site_fract_z
Y1 Y 0.250 0.250 0.195
Cd1 Cd 0.250 0.750 0.215
Ag1 Ag 0.250 0.504 0.696
```